(1)
Compound: Re2Os
Source: Alexandria via LeMat-Bulk
Functional: PBE
Structure: relaxed

raw total energy: -0.8697 Ry/atom
energy relative to the elements: 209 meV per atom
polymorph energy (0 for the lowest one): 6.52 kcal/mol of atoms

a b c (Å): 5.010 5.010 5.010
angles (deg): 103.99 103.99 121.10
Atoms (fractional coordinates):
Re1 0.140 0.640 0.780
Re2 0.360 0.140 0.500
Re3 0.640 0.860 0.500
Re4 0.860 0.360 0.220
Os1 0.250 0.250 0.000
Os2 0.750 0.750 0.000

=====

(2)
Compound: Sr2YPb
Source: Alexandria via LeMat-Bulk
Functional: PBE
Structure: relaxed

raw total energy: -0.2622 Ry/atom
energy relative to the elements: -184 meV per atom

a b c (Å): 5.130 5.130 5.393
angles (deg): 90.00 90.00 90.00
Atoms (fractional coordinates):
Sr1 0.000 0.500 0.000
Sr2 0.500 0.000 0.000
Y1 0.000 0.000 0.500
Pb1 0.500 0.500 0.500

=====

(3)
Compound: Li2AcGd
Source: Alexandria via LeMat-Bulk
Functional: PBE
Structure: relaxed

raw total energy: -0.3950 Ry/atom
energy relative to the elements: 131 meV per atom
polymorph energy (0 for the lowest one): 0.09 kcal/mol of atoms

a b c (Å): 5.517 5.517 5.517
angles (deg): 60.00 60.00 60.00
Atoms (fractional coordinates):
Li1 0.250 0.250 0.250
Li2 0.750 0.750 0.750
Ac1 0.000 0.000 0.000
Gd1 0.500 0.500 0.500

=====

(4)
Compound: Tm2LuFe
Source: Alexandria via LeMat-Bulk
Functional: PBE
Structure: relaxed

raw total energy: -0.3885 Ry/atom
energy relative to the elements: 196 meV per atom
polymorph energy (0 for the lowest one): 3.07 kcal/mol of atoms

a b c (Å): 9.893 9.893 9.893
angles (deg): 20.12 20.12 20.12
Atoms (fractional coordinates):
Tm1 0.231 0.231 0.231
Tm2 0.769 0.769 0.769
Lu1 0.000 0.000 0.000
Fe1 0.500 0.500 0.500

=====

(5)
Compound: Pr4MgTe5
Source: Alexandria via LeMat-Bulk
Functional: PBE
Structure: relaxed

raw total energy: -0.3627 Ry/atom
polymorph energy (0 for the lowest one): 0.21 kcal/mol of atoms
E_form (uncorrected): -1.2923 eV/atom

a b c (Å): 7.768 7.768 7.768
angles (deg): 99.63 99.63 131.72
Atoms (fractional coordinates):
Pr1 0.091 0.309 0.400
Pr2 0.309 0.909 0.219
Pr3 0.691 0.091 0.781
Pr4 0.909 0.691 0.600
Mg1 0.537 0.537 0.000
Te1 0.010 0.010 0.000
Te2 0.222 0.598 0.821
Te3 0.401 0.222 0.624
Te4 0.598 0.777 0.376
Te5 0.777 0.401 0.179

=====

(6)
Compound: Ti2Mo2Br
Source: Alexandria via LeMat-Bulk
Functional: PBE
Structure: relaxed

raw total energy: -0.5493 Ry/atom
polymorph energy (0 for the lowest one): 0.00 kcal/mol of atoms
E_form (uncorrected): 0.3512 eV/atom

a b c (Å): 8.269 8.269 8.269
angles (deg): 154.67 154.67 36.12
Atoms (fractional coordinates):
Ti1 0.120 0.120 0.000
Ti2 0.880 0.880 0.000
Mo1 0.250 0.750 0.500
Mo2 0.750 0.250 0.500
Br1 0.500 0.500 0.000

=====

(7)
Compound: LiMgInHg4
Source: Alexandria via LeMat-Bulk
Functional: PBE
Structure: relaxed

raw total energy: -0.0815 Ry/atom
energy relative to the elements: -45 meV per atom

a b c (Å): 10.490 10.490 6.255
angles (deg): 90.00 90.00 146.66
Atoms (fractional coordinates):
Li1 0.145 0.855 0.750
Li2 0.855 0.145 0.250
Mg1 0.353 0.647 0.750
Mg2 0.647 0.353 0.250
In1 0.364 0.636 0.250
In2 0.636 0.364 0.750
Hg1 0.000 0.500 0.000
Hg2 0.000 0.500 0.500
Hg3 0.100 0.900 0.250
Hg4 0.491 0.509 0.750
Hg5 0.500 0.000 0.000
Hg6 0.500 0.000 0.500
Hg7 0.509 0.491 0.250
Hg8 0.900 0.100 0.750

=====

(8)
Compound: Ba2Re
Source: Alexandria via LeMat-Bulk
Functional: PBE
Structure: relaxed

raw total energy: -0.3374 Ry/atom
energy relative to the elements: 840 meV per atom
polymorph energy (0 for the lowest one): 9.19 kcal/mol of atoms

a b c (Å): 6.900 6.900 6.900
angles (deg): 97.76 97.76 136.87
Atoms (fractional coordinates):
Ba1 0.162 0.662 0.825
Ba2 0.338 0.162 0.500
Ba3 0.662 0.838 0.500
Ba4 0.838 0.338 0.175
Re1 0.250 0.250 0.000
Re2 0.750 0.750 0.000

=====

(9)
Compound: DyNbB2
Source: Alexandria via LeMat-Bulk
Functional: PBE
Structure: relaxed

raw total energy: -0.5259 Ry/atom
energy relative to the elements: -149 meV per atom

a b c (Å): 6.193 6.193 6.193
angles (deg): 32.35 32.35 32.35
Atoms (fractional coordinates):
Dy1 0.000 0.000 0.000
Nb1 0.500 0.500 0.500
B1 0.235 0.235 0.235
B2 0.765 0.765 0.765

=====

(10)
Compound: Pr3ReN5
Source: Alexandria via LeMat-Bulk
Functional: PBE
Structure: relaxed

raw total energy: -0.6299 Ry/atom
E_form (uncorrected): -0.9683 eV/atom

a b c (Å): 7.587 7.587 7.587
angles (deg): 126.21 126.21 79.55
Atoms (fractional coordinates):
Pr1 0.173 0.673 0.847
Pr2 0.250 0.250 0.000
Pr3 0.327 0.173 0.500
Pr4 0.673 0.827 0.500
Pr5 0.750 0.750 0.000
Pr6 0.827 0.327 0.153
Re1 0.250 0.750 0.500
Re2 0.750 0.250 0.500
N1 0.000 0.000 0.000
N2 0.002 0.799 0.500
N3 0.201 0.701 0.203
N4 0.299 0.502 0.500
N5 0.498 0.998 0.797
N6 0.500 0.500 0.000
N7 0.502 0.002 0.203
N8 0.701 0.498 0.500
N9 0.799 0.299 0.797
N10 0.998 0.201 0.500